The following is a DFT calculation (PBE with a Hubbard U) of a relaxed structure of K5Na3Nb6W2O24.

Cell lengths 8.0471, 8.0524, 8.0524 Å; angles 90.19, 90.00, 90.00 degrees
Atoms (fractional coordinates):
K  0.0000  0.0000  0.0000
K  0.0000  0.0012  0.4972
K  0.0000  0.4972  0.0012
K  0.0000  0.4981  0.4981
K  0.5000  0.0000  0.0000
Na  0.5000  0.0082  0.4903
Na  0.5000  0.4903  0.0082
Na  0.5000  0.4911  0.4911
Nb  0.2513  0.2492  0.2492
Nb  0.2517  0.2502  0.7482
Nb  0.2517  0.7482  0.2502
Nb  0.7483  0.2502  0.7482
Nb  0.7483  0.7482  0.2502
Nb  0.7487  0.2492  0.2492
W  0.2522  0.7487  0.7487
W  0.7478  0.7487  0.7487
O  0.0000  0.2498  0.2498
O  0.0000  0.2496  0.7485
O  0.0000  0.7485  0.2496
O  0.0000  0.7488  0.7488
O  0.2528  0.7461  0.9939
O  0.2528  0.9939  0.7461
O  0.2536  0.2510  0.9983
O  0.2536  0.5040  0.7497
O  0.2536  0.7497  0.5040
O  0.2536  0.9983  0.2510
O  0.2551  0.2503  0.5002
O  0.2551  0.5002  0.2503
O  0.5000  0.2513  0.2513
O  0.5000  0.2508  0.7476
O  0.5000  0.7476  0.2508
O  0.5000  0.7477  0.7477
O  0.7449  0.2503  0.5002
O  0.7449  0.5002  0.2503
O  0.7464  0.2510  0.9983
O  0.7464  0.5040  0.7497
O  0.7464  0.7497  0.5040
O  0.7464  0.9983  0.2510
O  0.7472  0.7461  0.9939
O  0.7472  0.9939  0.7461

Calculated volume: 521.78 Å³/cell
Space-group type: Amm2 (38)
Uncorrected energy: -296.1 eV for the cell shown


The following is a DFT calculation (PBE with a Hubbard U) of a relaxed structure of K5Na3Nb7WO24.

Cell lengths 8.0553, 8.0553, 8.1053 Å; angles 90.05, 90.05, 89.98 degrees
Atoms (fractional coordinates):
K  0.0000  0.0000  0.0000
K  0.9996  0.9996  0.4980
K  0.9997  0.4987  0.4984
K  0.4987  0.9997  0.4984
K  0.4987  0.4987  0.4978
Na  0.0034  0.4919  0.0141
Na  0.4913  0.4913  0.0144
Na  0.4919  0.0034  0.0141
Nb  0.2471  0.2471  0.7570
Nb  0.2481  0.7486  0.2544
Nb  0.2494  0.2494  0.2542
Nb  0.2530  0.7459  0.7575
Nb  0.7459  0.2530  0.7575
Nb  0.7472  0.7472  0.2362
Nb  0.7486  0.2481  0.2544
W  0.7505  0.7505  0.7440
O  0.9997  0.2523  0.2398
O  0.2505  0.5001  0.2378
O  0.2503  0.5011  0.7471
O  0.2498  0.7494  0.4950
O  0.2505  0.2505  0.4926
O  0.2510  0.9990  0.7471
O  0.2523  0.9997  0.2398
O  0.2524  0.2524  0.9931
O  0.2522  0.7486  0.9941
O  0.5001  0.2505  0.2378
O  0.5005  0.7487  0.2418
O  0.5011  0.2503  0.7471
O  0.5056  0.7488  0.7500
O  0.7473  0.9985  0.2430
O  0.7479  0.7479  0.9907
O  0.7482  0.9931  0.7503
O  0.7494  0.2498  0.4950
O  0.7486  0.2522  0.9941
O  0.7487  0.5005  0.2418
O  0.7488  0.5056  0.7500
O  0.7490  0.7490  0.5051
O  0.9931  0.7482  0.7503
O  0.9985  0.7473  0.2430
O  0.9990  0.2510  0.7471

Calculated volume: 525.94 Å³/cell
Space-group type: Cm (8)
Uncorrected energy: -301.2 eV for the cell shown


The following is a DFT calculation (PBE with a Hubbard U) of a relaxed structure of K4Na4Nb3W5O24.

Cell lengths 8.0338, 8.0352, 8.0075 Å; angles 90.00, 90.00, 90.00 degrees
Atoms (fractional coordinates):
K  0.2485  0.2491  0.0000
K  0.2485  0.7509  0.0000
K  0.7515  0.2491  0.0000
K  0.7515  0.7509  0.0000
Na  0.2408  0.2474  0.4907
Na  0.2408  0.7526  0.4907
Na  0.7592  0.2474  0.4907
Na  0.7592  0.7526  0.4907
Nb  0.0000  0.0000  0.2490
Nb  0.0000  0.0000  0.7449
Nb  0.5000  0.0000  0.2519
W  0.0000  0.5000  0.2501
W  0.0000  0.5000  0.7458
W  0.5000  0.0000  0.7462
W  0.5000  0.5000  0.2523
W  0.5000  0.5000  0.7472
O  0.0000  0.0000  0.4984
O  0.0000  0.0000  0.9985
O  0.0000  0.2475  0.7428
O  0.0000  0.2476  0.2548
O  0.0000  0.5000  0.0049
O  0.0000  0.5000  0.4940
O  0.0000  0.7524  0.2548
O  0.0000  0.7525  0.7428
O  0.2422  0.5000  0.7451
O  0.2503  0.5000  0.2552
O  0.2532  0.0000  0.2542
O  0.2555  0.0000  0.7434
O  0.5000  0.0000  0.5029
O  0.5000  0.0000  0.9926
O  0.5000  0.2442  0.7447
O  0.5000  0.2547  0.2535
O  0.5000  0.5000  0.5068
O  0.5000  0.5000  0.9908
O  0.5000  0.7453  0.2535
O  0.5000  0.7558  0.7447
O  0.7445  0.0000  0.7434
O  0.7468  0.0000  0.2542
O  0.7497  0.5000  0.2552
O  0.7578  0.5000  0.7451

Calculated volume: 516.91 Å³/cell
Space-group type: Pmm2 (25)
Uncorrected energy: -282.1 eV for the cell shown